No. 1
The following is a DFT calculation (PBE-GGA) of a relaxed CsGeBiSe3 crystal.

Cell lengths 9.275, 4.135, 11.858 Å; angles 90.00, 112.23, 90.00 degrees
Space group P2_1/m (No. 11)
Symmetry-distinct sites (fractional):
Cs: 0.243 0.250 0.289 (multiplicity 2)
Ge: 0.122 0.250 0.560 (multiplicity 2)
Bi: 0.365 0.750 0.846 (multiplicity 2)
Se: 0.112 0.250 0.766 (multiplicity 2)
Se: 0.318 0.750 0.582 (multiplicity 2)
Se: 0.395 0.750 0.101 (multiplicity 2)

Properties
As for the energy relative to the elements, uncorrected: -0.62 eV per atom. Its crystal system is monoclinic. The calculation puts the raw total energy at -3.92 eV/atom. As for the volume: 35.08 Å³/atom.

=====

No. 2
The following is a DFT calculation (PBE-GGA) of a relaxed Cs2GeBiSe4 crystal.

Cell lengths 6.768, 15.267, 25.581 Å; angles 90.00, 90.00, 90.00 degrees
Space group Fddd (No. 70, origin choice 2)
Symmetry-distinct sites (fractional):
Cs: 0.125 0.125 0.306 (multiplicity 16)
Ge: 0.125 0.125 0.625 (multiplicity 8)
Bi: 0.125 0.125 0.125 (multiplicity 8)
Se: 0.096 0.275 0.818 (multiplicity 32)

Properties
As for the energy relative to the elements, uncorrected: -0.62 eV per atom. Its crystal system is orthorhombic. The calculation puts the raw total energy at -3.64 eV/atom. As for the volume: 41.30 Å³/atom.

=====

No. 3
The following is a DFT calculation (PBE-GGA) of a relaxed Cs2GeBiTe4 crystal.

Cell lengths 7.066, 16.062, 26.496 Å; angles 90.00, 90.00, 90.00 degrees
Space group Fddd (No. 70, origin choice 2)
Symmetry-distinct sites (fractional):
Cs: 0.125 0.125 0.309 (multiplicity 16)
Ge: 0.125 0.125 0.625 (multiplicity 8)
Bi: 0.125 0.125 0.125 (multiplicity 8)
Te: 0.100 0.274 0.813 (multiplicity 32)

Properties
As for the energy relative to the elements, uncorrected: -0.50 eV per atom. Its crystal system is orthorhombic. The calculation puts the raw total energy at -3.35 eV/atom. As for the volume: 46.99 Å³/atom.

=====

No. 4
The following is a DFT calculation (PBE-GGA) of a relaxed CsGeBiTe3 crystal.

Cell lengths 9.850, 4.370, 12.530 Å; angles 90.00, 113.07, 90.00 degrees
Space group P2_1/m (No. 11)
Symmetry-distinct sites (fractional):
Cs: 0.243 0.250 0.290 (multiplicity 2)
Ge: 0.113 0.250 0.552 (multiplicity 2)
Bi: 0.365 0.750 0.845 (multiplicity 2)
Te: 0.111 0.250 0.768 (multiplicity 2)
Te: 0.316 0.750 0.577 (multiplicity 2)
Te: 0.389 0.750 0.099 (multiplicity 2)

Properties
As for the energy relative to the elements, uncorrected: -0.45 eV per atom. Its crystal system is monoclinic. The calculation puts the raw total energy at -3.58 eV/atom. As for the volume: 41.35 Å³/atom.

=====

No. 5
The following is a DFT calculation (PBE-GGA) of a relaxed Cs12BiH4 crystal.

Cell lengths 12.467, 12.467, 12.467 Å; angles 90.00, 90.00, 90.00 degrees
Space group Im-3 (No. 204)
Symmetry-distinct sites (fractional):
Cs: 0.000 0.282 0.191 (multiplicity 24)
Bi: 0.000 0.000 0.000 (multiplicity 2)
H: 0.250 0.250 0.250 (multiplicity 8)

Properties
Its crystal system is cubic. The calculation puts the raw total energy at -1.73 eV/atom. As for the volume: 56.99 Å³/atom.

=====

No. 6
The following is a DFT calculation (PBE-GGA) of a relaxed Cs8Bi2H crystal.

Cell lengths 24.523, 6.498, 8.615 Å; angles 90.00, 105.83, 90.00 degrees
Space group C2/m (No. 12)
Symmetry-distinct sites (fractional):
Cs: 0.034 0.000 0.277 (multiplicity 4)
Cs: 0.090 0.500 0.800 (multiplicity 4)
Cs: 0.172 0.500 0.399 (multiplicity 4)
Cs: 0.226 0.000 0.138 (multiplicity 4)
Bi: 0.166 0.000 0.664 (multiplicity 4)
H: 0.000 0.500 0.000 (multiplicity 2)

Properties
Its crystal system is monoclinic. The calculation puts the raw total energy at -1.84 eV/atom. As for the volume: 60.03 Å³/atom.